No. 1
Here is a relaxed Na3Mn2CrS6 crystal from Alexandria via LeMat-Bulk. Energies are from PBE.

Unit cell a=6.2451 b=6.2451 c=6.8697 alpha=98.72 beta=98.72 gamma=120.05
Fractional coordinates of all 12 atoms:
Na (0.0000, 0.0000, 0.0000)
Na (0.3317, 0.6683, 0.0000)
Na (0.6683, 0.3317, 0.0000)
Mn (0.1660, 0.8340, 0.5000)
Mn (0.8340, 0.1660, 0.5000)
Cr (0.5000, 0.5000, 0.5000)
S (0.1053, 0.4327, 0.2996)
S (0.2398, 0.2398, 0.7009)
S (0.4327, 0.1053, 0.2996)
S (0.5673, 0.8947, 0.7004)
S (0.7602, 0.7602, 0.2991)
S (0.8947, 0.5673, 0.7004)

## Properties
N(E_F), states/eV/atom: 0.403
Formation energy without anion corrections, eV per atom: -0.84
DFT total energy, eV/atom: -5.566

---

No. 2
Here is a relaxed BeFeReN2 crystal from Alexandria via LeMat-Bulk. Energies are from PBE.

Unit cell a=3.5797 b=3.5797 c=4.0412 alpha=90.00 beta=90.00 gamma=90.00
Fractional coordinates of all 5 atoms:
Be (0.0000, 0.0000, 0.0000)
Fe (0.0000, 0.0000, 0.5000)
Re (0.5000, 0.5000, 0.0000)
N (0.0000, 0.5000, 0.5000)
N (0.5000, 0.0000, 0.5000)

## Properties
N(E_F), states/eV/atom: 0.977
Formation energy without anion corrections, eV per atom: 1.39
DFT total energy, eV/atom: -6.863

---

No. 3
Here is a relaxed PrHo2ErSe4 crystal from Alexandria via LeMat-Bulk. Energies are from PBE.

Unit cell a=7.0847 b=4.0397 c=7.2215 alpha=90.00 beta=108.64 gamma=90.00
Fractional coordinates of all 8 atoms:
Pr (0.0000, 0.0000, 0.0000)
Ho (0.5000, 0.0000, 0.5000)
Ho (0.5000, 0.5000, 0.0000)
Er (0.0000, 0.5000, 0.5000)
Se (0.2544, 0.0000, 0.7422)
Se (0.2617, 0.5000, 0.2633)
Se (0.7383, 0.5000, 0.7367)
Se (0.7456, 0.0000, 0.2578)

## Properties
N(E_F), states/eV/atom: 0.547
Formation energy without anion corrections, eV per atom: -1.74
DFT total energy, eV/atom: -5.791

---

No. 4
Here is a relaxed SrZrAu2 crystal from Alexandria via LeMat-Bulk. Energies are from PBE.

Unit cell a=3.7526 b=3.7526 c=7.1439 alpha=90.00 beta=90.00 gamma=90.00
Fractional coordinates of all 4 atoms:
Sr (0.0000, 0.0000, 0.0000)
Zr (0.5000, 0.5000, 0.3641)
Au (0.0000, 0.0000, 0.5228)
Au (0.5000, 0.5000, 0.7605)

## Properties
N(E_F), states/eV/atom: 0.705
Offset from the most stable computed form, kJ per mole of atoms: 26.57
DFT total energy, eV/atom: -4.465
Formation energy from the elements, eV/atom: -0.27

---

> Which of these has the lowest DFT total energy?

BeFeReN2

---

> Among the records above, which one has the highest DFT total energy?

SrZrAu2

---

> Among the records above, which one has the lowest N(E_F)?

Na3Mn2CrS6

---

> What is the N(E_F) in the fourth record?

0.705 states/eV/atom